No. 1
# K2Sm2IrO6, relaxed, DFT PBE
# Formation energy from raw total energies in eV per atom: -2.07
# Energy in eV/atom: -6.635
# Volume in Å³/atom: 17.51
data_K2Sm2IrO6
_chemical_formula_sum 'K4 Sm4 Ir2 O12'
_space_group_name_H-M_alt 'C 1 2/m 1'
_space_group_IT_number 12
_cell_length_a 5.933
_cell_length_b 10.173
_cell_length_c 6.604
_cell_angle_alpha 90.00
_cell_angle_beta 104.92
_cell_angle_gamma 90.00
loop_
_space_group_symop_operation_xyz
'x,y,z'
'-x,-y,-z'
'-x,y,-z'
'x,-y,z'
'x+1/2,y+1/2,z'
'-x+1/2,-y+1/2,-z'
'-x+1/2,y+1/2,-z'
'x+1/2,-y+1/2,z'
loop_
_atom_site_label
_atom_site_fract_x
_atom_site_fract_y
_atom_site_fract_z
K1 0.000 0.156 0.000
Sm1 0.000 0.336 0.500
Ir1 0.000 0.000 0.500
O1 0.198 0.153 0.673
O2 0.245 0.000 0.321



No. 2
# K3Sm3IrO8, relaxed, DFT PBE
# Formation energy from raw total energies in eV per atom: -2.24
# Energy in eV/atom: -6.636
# Volume in Å³/atom: 17.47
data_K3Sm3IrO8
_chemical_formula_sum 'K9 Sm9 Ir3 O24'
_space_group_name_H-M_alt 'R -3 m'
_space_group_IT_number 166
_space_group_name_Hall '-R 3 2"'
_cell_length_a 6.9379
_cell_length_b 6.9379
_cell_length_c 18.8630
_cell_angle_alpha 90.00
_cell_angle_beta 90.00
_cell_angle_gamma 120.00
loop_
_atom_site_label
_atom_site_fract_x
_atom_site_fract_y
_atom_site_fract_z
K1 0.0000 0.5000 0.0000
Sm1 0.0000 0.5000 0.5000
Ir1 0.0000 0.0000 0.5000
O1 0.0000 0.0000 0.2295
O2 0.0323 0.5161 0.2251



No. 3
# K3Sm2IrO6, relaxed, DFT PBE
# Formation energy from raw total energies in eV per atom: -2.00
# Energy in eV/atom: -6.279
# Volume in Å³/atom: 15.88
data_K3Sm2IrO6
_chemical_formula_sum 'K6 Sm4 Ir2 O12'
_space_group_name_H-M_alt 'C 1 2/m 1'
_space_group_IT_number 12
_cell_length_a 5.938
_cell_length_b 10.260
_cell_length_c 6.555
_cell_angle_alpha 90.00
_cell_angle_beta 107.35
_cell_angle_gamma 90.00
loop_
_space_group_symop_operation_xyz
'x,y,z'
'-x,-y,-z'
'-x,y,-z'
'x,-y,z'
'x+1/2,y+1/2,z'
'-x+1/2,-y+1/2,-z'
'-x+1/2,y+1/2,-z'
'x+1/2,-y+1/2,z'
loop_
_atom_site_label
_atom_site_fract_x
_atom_site_fract_y
_atom_site_fract_z
K1 0.000 0.000 0.000
K2 0.000 0.340 0.000
Sm1 0.000 0.167 0.500
Ir1 0.000 0.500 0.500
O1 0.220 0.344 0.691
O2 0.249 0.000 0.689



No. 4
# K2SmIr3O12, relaxed, DFT PBE
# Formation energy from raw total energies in eV per atom: -1.14
# Energy in eV/atom: -6.310
# Volume in Å³/atom: 15.49
data_K2SmIr3O12
_chemical_formula_sum 'K6 Sm3 Ir9 O36'
_space_group_name_H-M_alt 'R -3 m'
_space_group_IT_number 166
_space_group_name_Hall '-R 3 2"'
_cell_length_a 7.3584
_cell_length_b 7.3584
_cell_length_c 17.8344
_cell_angle_alpha 90.00
_cell_angle_beta 90.00
_cell_angle_gamma 120.00
loop_
_atom_site_label
_atom_site_fract_x
_atom_site_fract_y
_atom_site_fract_z
K1 0.0000 0.0000 0.1164
Sm1 0.0000 0.0000 0.5000
Ir1 0.0000 0.5000 0.0000
O1 0.0116 0.5058 0.1055
O2 0.0679 0.5339 0.3367



No. 5
# K2Sm2IrO7, relaxed, DFT PBE
# Formation energy from raw total energies in eV per atom: -2.08
# Energy in eV/atom: -6.679
# Volume in Å³/atom: 14.99
data_K2Sm2IrO7
_chemical_formula_sum 'K12 Sm12 Ir6 O42'
_space_group_name_H-M_alt 'R -3 c'
_space_group_IT_number 167
_space_group_name_Hall '-R 3 2"c'
_cell_length_a 5.7311
_cell_length_b 5.7311
_cell_length_c 37.9417
_cell_angle_alpha 90.00
_cell_angle_beta 90.00
_cell_angle_gamma 120.00
loop_
_atom_site_label
_atom_site_fract_x
_atom_site_fract_y
_atom_site_fract_z
K1 0.0000 0.0000 0.0872
Sm1 0.0000 0.0000 0.1908
Ir1 0.0000 0.0000 0.0000
O1 0.0000 0.0000 0.2500
O2 0.0138 0.4167 0.1939



No. 6
# K2SnIr3O12, relaxed, DFT PBE
# Formation energy from raw total energies in eV per atom: -0.96
# Energy in eV/atom: -6.084
# Volume in Å³/atom: 15.15
data_K2SnIr3O12
_chemical_formula_sum 'K6 Sn3 Ir9 O36'
_space_group_name_H-M_alt 'R -3 m'
_space_group_IT_number 166
_space_group_name_Hall '-R 3 2"'
_cell_length_a 7.2490
_cell_length_b 7.2490
_cell_length_c 17.9761
_cell_angle_alpha 90.00
_cell_angle_beta 90.00
_cell_angle_gamma 120.00
loop_
_atom_site_label
_atom_site_fract_x
_atom_site_fract_y
_atom_site_fract_z
K1 0.0000 0.0000 0.1234
Sn1 0.0000 0.0000 0.5000
Ir1 0.0000 0.5000 0.0000
O1 0.0522 0.5261 0.1057
O2 0.0703 0.5351 0.3496



No. 7
# KSn2IrO8, relaxed, DFT PBE
# Formation energy from raw total energies in eV per atom: -0.99
# Energy in eV/atom: -5.791
# Volume in Å³/atom: 13.14
data_KSn2IrO8
_chemical_formula_sum 'K1 Sn2 Ir1 O8'
_space_group_name_H-M_alt 'P -1'
_space_group_IT_number 2
_cell_length_a 4.682
_cell_length_b 4.979
_cell_length_c 6.765
_cell_angle_alpha 89.96
_cell_angle_beta 89.92
_cell_angle_gamma 88.76
loop_
_space_group_symop_operation_xyz
'x,y,z'
'-x,-y,-z'
loop_
_atom_site_label
_atom_site_fract_x
_atom_site_fract_y
_atom_site_fract_z
K1 0.000 0.000 0.000
Sn1 0.500 0.500 0.254
Ir1 0.000 0.000 0.500
O1 0.245 0.845 0.696
O2 0.246 0.846 0.304
O3 0.256 0.434 0.000
O4 0.257 0.328 0.500



No. 8
# K2SnIrO6, relaxed, DFT PBE
# Formation energy from raw total energies in eV per atom: -1.16
# Energy in eV/atom: -5.641
# Volume in Å³/atom: 13.14
data_K2SnIrO6
_chemical_formula_sum 'K8 Sn4 Ir4 O24'
_space_group_name_H-M_alt 'F m -3 m'
_space_group_IT_number 225
_space_group_name_Hall '-F 4 2 3'
_cell_length_a 8.069
_cell_length_b 8.069
_cell_length_c 8.069
_cell_angle_alpha 90.00
_cell_angle_beta 90.00
_cell_angle_gamma 90.00
loop_
_atom_site_label
_atom_site_fract_x
_atom_site_fract_y
_atom_site_fract_z
K1 0.250 0.250 0.250
Sn1 0.000 0.000 0.000
Ir1 0.000 0.000 0.500
O1 0.000 0.000 0.258



No. 9
# K2SrIrO6, relaxed, DFT PBE
# Formation energy from raw total energies in eV per atom: -1.39
# Energy in eV/atom: -5.634
# Volume in Å³/atom: 16.28
data_K2SrIrO6
_chemical_formula_sum 'K8 Sr4 Ir4 O24'
_space_group_name_H-M_alt 'F m -3 m'
_space_group_IT_number 225
_space_group_name_Hall '-F 4 2 3'
_cell_length_a 8.668
_cell_length_b 8.668
_cell_length_c 8.668
_cell_angle_alpha 90.00
_cell_angle_beta 90.00
_cell_angle_gamma 90.00
loop_
_atom_site_label
_atom_site_fract_x
_atom_site_fract_y
_atom_site_fract_z
K1 0.250 0.250 0.250
Sr1 0.000 0.000 0.000
Ir1 0.000 0.000 0.500
O1 0.000 0.000 0.282



No. 10
# K2Sr3IrO6, relaxed, DFT PBE
# Formation energy from raw total energies in eV per atom: -1.77
# Energy in eV/atom: -5.590
# Volume in Å³/atom: 16.26
data_K2Sr3IrO6
_chemical_formula_sum 'K4 Sr6 Ir2 O12'
_space_group_name_H-M_alt 'C 1 2/m 1'
_space_group_IT_number 12
_cell_length_a 6.505
_cell_length_b 11.041
_cell_length_c 5.892
_cell_angle_alpha 90.00
_cell_angle_beta 112.73
_cell_angle_gamma 90.00
loop_
_space_group_symop_operation_xyz
'x,y,z'
'-x,-y,-z'
'-x,y,-z'
'x,-y,z'
'x+1/2,y+1/2,z'
'-x+1/2,-y+1/2,-z'
'-x+1/2,y+1/2,-z'
'x+1/2,-y+1/2,z'
loop_
_atom_site_label
_atom_site_fract_x
_atom_site_fract_y
_atom_site_fract_z
K1 0.000 0.168 0.000
Sr1 0.000 0.000 0.500
Sr2 0.000 0.336 0.500
Ir1 0.000 0.500 0.000
O1 0.188 0.500 0.778
O2 0.214 0.363 0.240



No. 11
# KSrIrO6, relaxed, DFT PBE
# Formation energy from raw total energies in eV per atom: -1.10
# Energy in eV/atom: -5.701
# Volume in Å³/atom: 16.38
data_KSrIrO6
_chemical_formula_sum 'K1 Sr1 Ir1 O6'
_space_group_name_H-M_alt 'P 3 1 2'
_space_group_IT_number 149
_cell_length_a 5.9980
_cell_length_b 5.9980
_cell_length_c 4.7323
_cell_angle_alpha 90.00
_cell_angle_beta 90.00
_cell_angle_gamma 120.00
loop_
_space_group_symop_operation_xyz
'x,y,z'
'-y,x-y,z'
'-x+y,-x,z'
'-y,-x,-z'
'-x+y,y,-z'
'x,x-y,-z'
loop_
_atom_site_label
_atom_site_fract_x
_atom_site_fract_y
_atom_site_fract_z
K1 0.0000 0.0000 0.0000
Sr1 0.6667 0.3333 0.5000
Ir1 0.3333 0.6667 0.0000
O1 0.0690 0.4231 0.2287



No. 12
# KSr2IrO6, relaxed, DFT PBE
# Formation energy from raw total energies in eV per atom: -1.71
# Energy in eV/atom: -6.020
# Volume in Å³/atom: 15.66
data_KSr2IrO6
_chemical_formula_sum 'K2 Sr4 Ir2 O12'
_space_group_name_H-M_alt 'P 1 21/c 1'
_space_group_IT_number 14
_cell_length_a 5.862
_cell_length_b 6.314
_cell_length_c 10.179
_cell_angle_alpha 90.00
_cell_angle_beta 123.78
_cell_angle_gamma 90.00
loop_
_space_group_symop_operation_xyz
'x,y,z'
'-x,-y,-z'
'-x,y+1/2,-z+1/2'
'x,-y+1/2,z+1/2'
loop_
_atom_site_label
_atom_site_fract_x
_atom_site_fract_y
_atom_site_fract_z
K1 0.000 0.000 0.000
Sr1 0.219 0.061 0.738
Ir1 0.500 0.000 0.500
O1 0.185 0.159 0.457
O2 0.272 0.750 0.414
O3 0.416 0.073 0.294



> What is the formula in the second record?

K3Sm3IrO8



> Among the records above, which one has the highest energy?

K2Sr3IrO6